[1]
DFT (PBE) results for a geometry-optimized LiIn2As structure.

V: 91.5 Å³ per cell
total magnetization: 0.000 μB/cell

```
data_LiIn2As
_chemical_formula_sum 'Li1 In2 As1'
_cell_length_a 3.353
_cell_length_b 5.465
_cell_length_c 4.995
_cell_angle_alpha 90.00
_cell_angle_beta 90.46
_cell_angle_gamma 90.00
_symmetry_space_group_name_H-M 'P 1 2/m 1'
_symmetry_Int_Tables_number 10
_symmetry_space_group_name_Hall '-P 2y'
loop_
_atom_site_label
_atom_site_type_symbol
_atom_site_fract_x
_atom_site_fract_y
_atom_site_fract_z
_atom_site_occupancy
Li1 Li 0.000 0.000 0.000 1
In1 In 0.265 0.500 0.749 1
As1 As 0.500 0.000 0.500 1
```

***

[2]
DFT (PBE) results for a geometry-optimized Li5InAs3 structure.

V: 708.3 Å³ per cell
total magnetization: 0.000 μB/cell

```
data_Li5InAs3
_chemical_formula_sum 'Li20 In4 As12'
_cell_length_a 13.827
_cell_length_b 6.190
_cell_length_c 8.737
_cell_angle_alpha 90.00
_cell_angle_beta 108.72
_cell_angle_gamma 90.00
_symmetry_space_group_name_H-M 'C 1 2/c 1'
_symmetry_Int_Tables_number 15
_symmetry_space_group_name_Hall '-C 2yc'
loop_
_atom_site_label
_atom_site_type_symbol
_atom_site_fract_x
_atom_site_fract_y
_atom_site_fract_z
_atom_site_occupancy
Li1 Li 0.000 0.245 0.250 1
Li2 Li 0.166 0.254 0.578 1
Li3 Li 0.169 0.252 0.088 1
In1 In 0.000 0.269 0.750 1
As1 As 0.000 0.000 0.000 1
As2 As 0.170 0.498 0.834 1
```

***

[3]
DFT (PBE) results for a geometry-optimized LiIn3As structure.

V: 161.7 Å³ per cell
total magnetization: 0.000 μB/cell
excess energy over the best structure of this formula in the dataset: 0.0 meV/atom

```
data_LiIn3As
_chemical_formula_sum 'Li1 In3 As1'
_cell_length_a 5.448
_cell_length_b 5.448
_cell_length_c 5.448
_cell_angle_alpha 90.00
_cell_angle_beta 90.00
_cell_angle_gamma 90.00
_symmetry_space_group_name_H-M 'P m -3 m'
_symmetry_Int_Tables_number 221
_symmetry_space_group_name_Hall '-P 4 2 3'
loop_
_atom_site_label
_atom_site_type_symbol
_atom_site_fract_x
_atom_site_fract_y
_atom_site_fract_z
_atom_site_occupancy
Li1 Li 0.000 0.000 0.000 1
In1 In 0.000 0.500 0.500 1
As1 As 0.500 0.500 0.500 1
```

***

[4]
DFT (PBE) results for a geometry-optimized LiInAs3 structure.

V: 104.2 Å³ per cell
total magnetization: 0.000 μB/cell
excess energy over the best structure of this formula in the dataset: 0.0 meV/atom

```
data_LiInAs3
_chemical_formula_sum 'Li1 In1 As3'
_cell_length_a 4.706
_cell_length_b 4.706
_cell_length_c 4.706
_cell_angle_alpha 90.00
_cell_angle_beta 90.00
_cell_angle_gamma 90.00
_symmetry_space_group_name_H-M 'P m -3 m'
_symmetry_Int_Tables_number 221
_symmetry_space_group_name_Hall '-P 4 2 3'
loop_
_atom_site_label
_atom_site_type_symbol
_atom_site_fract_x
_atom_site_fract_y
_atom_site_fract_z
_atom_site_occupancy
Li1 Li 0.000 0.000 0.000 1
In1 In 0.500 0.500 0.500 1
As1 As 0.000 0.000 0.500 1
```

***

[5]
DFT (PBE) results for a geometry-optimized LiIn2As2 structure.

V: 226.5 Å³ per cell
total magnetization: 0.000 μB/cell
excess energy over the best structure of this formula in the dataset: 0.0 meV/atom

```
data_LiIn2As2
_chemical_formula_sum 'Li2 In4 As4'
_cell_length_a 7.672
_cell_length_b 7.672
_cell_length_c 3.848
_cell_angle_alpha 90.00
_cell_angle_beta 90.00
_cell_angle_gamma 90.00
_symmetry_space_group_name_H-M 'P 4/m b m'
_symmetry_Int_Tables_number 127
_symmetry_space_group_name_Hall '-P 4 2ab'
loop_
_atom_site_label
_atom_site_type_symbol
_atom_site_fract_x
_atom_site_fract_y
_atom_site_fract_z
_atom_site_occupancy
Li1 Li 0.000 0.000 0.000 1
In1 In 0.146 0.354 0.500 1
As1 As 0.161 0.661 0.000 1
```

***

[6]
DFT (PBE) results for a geometry-optimized LiIn2As structure.

V: 180.7 Å³ per cell
total magnetization: 0.000 μB/cell

```
data_LiIn2As
_chemical_formula_sum 'Li2 In4 As2'
_cell_length_a 9.978
_cell_length_b 3.990
_cell_length_c 4.704
_cell_angle_alpha 90.00
_cell_angle_beta 105.25
_cell_angle_gamma 90.00
_symmetry_space_group_name_H-M 'C 1 2/m 1'
_symmetry_Int_Tables_number 12
_symmetry_space_group_name_Hall '-C 2y'
loop_
_atom_site_label
_atom_site_type_symbol
_atom_site_fract_x
_atom_site_fract_y
_atom_site_fract_z
_atom_site_occupancy
Li1 Li 0.000 0.000 0.000 1
In1 In 0.231 0.000 0.738 1
As1 As 0.000 0.500 0.500 1
```

***

[7]
DFT (PBE) results for a geometry-optimized LiIn2As structure.

V: 177.3 Å³ per cell
total magnetization: 0.000 μB/cell

```
data_LiIn2As
_chemical_formula_sum 'Li2 In4 As2'
_cell_length_a 4.141
_cell_length_b 4.749
_cell_length_c 9.014
_cell_angle_alpha 90.00
_cell_angle_beta 90.00
_cell_angle_gamma 90.00
_symmetry_space_group_name_H-M 'I m m 2'
_symmetry_Int_Tables_number 44
_symmetry_space_group_name_Hall 'I 2 -2'
loop_
_atom_site_label
_atom_site_type_symbol
_atom_site_fract_x
_atom_site_fract_y
_atom_site_fract_z
_atom_site_occupancy
Li1 Li 0.000 0.000 0.000 1
In1 In 0.000 0.000 0.470 1
In2 In 0.000 0.500 0.236 1
As1 As 0.000 0.500 0.718 1
```

***

[8]
DFT (PBE) results for a geometry-optimized LiIn2As structure.

V: 87.7 Å³ per cell
total magnetization: 0.000 μB/cell

```
data_LiIn2As
_chemical_formula_sum 'Li1 In2 As1'
_cell_length_a 3.199
_cell_length_b 3.199
_cell_length_c 8.571
_cell_angle_alpha 90.00
_cell_angle_beta 90.00
_cell_angle_gamma 90.00
_symmetry_space_group_name_H-M 'P 4 m m'
_symmetry_Int_Tables_number 99
_symmetry_space_group_name_Hall 'P 4 -2'
loop_
_atom_site_label
_atom_site_type_symbol
_atom_site_fract_x
_atom_site_fract_y
_atom_site_fract_z
_atom_site_occupancy
Li1 Li 0.000 0.000 0.000 1
In1 In 0.000 0.000 0.446 1
In2 In 0.500 0.500 0.755 1
As1 As 0.500 0.500 0.177 1
```

***

[9]
DFT (PBE) results for a geometry-optimized LiIn2As2 structure.

V: 229.1 Å³ per cell
total magnetization: 0.000 μB/cell
excess energy over the best structure of this formula in the dataset: 87.3 meV/atom

```
data_LiIn2As2
_chemical_formula_sum 'Li2 In4 As4'
_cell_length_a 7.851
_cell_length_b 7.851
_cell_length_c 3.716
_cell_angle_alpha 90.00
_cell_angle_beta 90.00
_cell_angle_gamma 90.00
_symmetry_space_group_name_H-M 'P 4/m b m'
_symmetry_Int_Tables_number 127
_symmetry_space_group_name_Hall '-P 4 2ab'
loop_
_atom_site_label
_atom_site_type_symbol
_atom_site_fract_x
_atom_site_fract_y
_atom_site_fract_z
_atom_site_occupancy
Li1 Li 0.000 0.000 0.000 1
In1 In 0.140 0.360 0.000 1
As1 As 0.161 0.661 0.500 1
```

***

[10]
DFT (PBE) results for a geometry-optimized LiIn2As structure.

V: 88.2 Å³ per cell
total magnetization: 0.000 μB/cell

```
data_LiIn2As
_chemical_formula_sum 'Li1 In2 As1'
_cell_length_a 4.383
_cell_length_b 4.411
_cell_length_c 4.561
_cell_angle_alpha 90.00
_cell_angle_beta 90.00
_cell_angle_gamma 90.00
_symmetry_space_group_name_H-M 'P m m m'
_symmetry_Int_Tables_number 47
_symmetry_space_group_name_Hall '-P 2 2'
loop_
_atom_site_label
_atom_site_type_symbol
_atom_site_fract_x
_atom_site_fract_y
_atom_site_fract_z
_atom_site_occupancy
Li1 Li 0.000 0.000 0.000 1
In1 In 0.000 0.500 0.500 1
In2 In 0.500 0.000 0.500 1
As1 As 0.500 0.500 0.000 1
```

***

[11]
DFT (PBE) results for a geometry-optimized Li3InAs structure.

V: 112.9 Å³ per cell
total magnetization: 0.000 μB/cell
excess energy over the best structure of this formula in the dataset: 0.0 meV/atom

```
data_Li3InAs
_chemical_formula_sum 'Li3 In1 As1'
_cell_length_a 4.832
_cell_length_b 4.832
_cell_length_c 4.832
_cell_angle_alpha 90.00
_cell_angle_beta 90.00
_cell_angle_gamma 90.00
_symmetry_space_group_name_H-M 'P m -3 m'
_symmetry_Int_Tables_number 221
_symmetry_space_group_name_Hall '-P 4 2 3'
loop_
_atom_site_label
_atom_site_type_symbol
_atom_site_fract_x
_atom_site_fract_y
_atom_site_fract_z
_atom_site_occupancy
Li1 Li 0.000 0.000 0.500 1
In1 In 0.500 0.500 0.500 1
As1 As 0.000 0.000 0.000 1
```

***

[12]
DFT (PBE) results for a geometry-optimized LiIn2As structure.

V: 194.9 Å³ per cell
total magnetization: 0.000 μB/cell

```
data_LiIn2As
_chemical_formula_sum 'Li2 In4 As2'
_cell_length_a 8.650
_cell_length_b 3.917
_cell_length_c 6.143
_cell_angle_alpha 90.00
_cell_angle_beta 110.52
_cell_angle_gamma 90.00
_symmetry_space_group_name_H-M 'C 1 m 1'
_symmetry_Int_Tables_number 8
_symmetry_space_group_name_Hall 'C -2y'
loop_
_atom_site_label
_atom_site_type_symbol
_atom_site_fract_x
_atom_site_fract_y
_atom_site_fract_z
_atom_site_occupancy
Li1 Li 0.000 0.000 0.000 1
In1 In 0.126 0.500 0.685 1
In2 In 0.335 0.500 0.380 1
As1 As 0.305 0.000 0.027 1
```

***

[13]
DFT (PBE) results for a geometry-optimized LiIn2As structure.

V: 308.8 Å³ per cell
total magnetization: 0.000 μB/cell

```
data_LiIn2As
_chemical_formula_sum 'Li3 In6 As3'
_cell_length_a 4.1835
_cell_length_b 4.1835
_cell_length_c 20.3750
_cell_angle_alpha 90.00
_cell_angle_beta 90.00
_cell_angle_gamma 120.00
_symmetry_space_group_name_H-M 'R 3 m'
_symmetry_Int_Tables_number 160
_symmetry_space_group_name_Hall 'R 3 -2"'
loop_
_atom_site_label
_atom_site_type_symbol
_atom_site_fract_x
_atom_site_fract_y
_atom_site_fract_z
_atom_site_occupancy
Li1 Li 0.0000 0.0000 0.0000 1
In1 In 0.0000 0.0000 0.2510 1
In2 In 0.0000 0.0000 0.4332 1
As1 As 0.0000 0.0000 0.8461 1
```

***

[14]
DFT (PBE) results for a geometry-optimized LiIn2As2 structure.

V: 262.3 Å³ per cell
total magnetization: 0.000 μB/cell
excess energy over the best structure of this formula in the dataset: 90.8 meV/atom

```
data_LiIn2As2
_chemical_formula_sum 'Li2 In4 As4'
_cell_length_a 4.521
_cell_length_b 4.521
_cell_length_c 12.832
_cell_angle_alpha 90.00
_cell_angle_beta 90.00
_cell_angle_gamma 90.00
_symmetry_space_group_name_H-M 'I 4/m m m'
_symmetry_Int_Tables_number 139
_symmetry_space_group_name_Hall '-I 4 2'
loop_
_atom_site_label
_atom_site_type_symbol
_atom_site_fract_x
_atom_site_fract_y
_atom_site_fract_z
_atom_site_occupancy
Li1 Li 0.000 0.000 0.000 1
In1 In 0.000 0.500 0.250 1
As1 As 0.000 0.000 0.394 1
```

***

Number 1: E_form -67 meV/atom. Number 2: E_form -532 meV/atom. Number 3: E_form 292 meV/atom. Number 4: E_form 383 meV/atom. Number 5: E_form -111 meV/atom. Number 6: E_form -123 meV/atom. Number 7: E_form -127 meV/atom. Number 8: E_form -117 meV/atom. Number 9: E_form -24 meV/atom. Number 10: E_form -142 meV/atom. Number 11: E_form -301 meV/atom. Number 12: E_form -203 meV/atom. Number 13: E_form -88 meV/atom. Number 14: E_form -20 meV/atom.